A relaxed structure of NpSiOs2. Source: Alexandria, functional PBE-GGA.

Structure (POSCAR):
```
NpSiOs2
1.0
-0.4360 0.4307 2.8999
1.4406 -2.5219 0.5912
6.0586 3.5508 0.3834
Np Si Os
1 1 2
direct
0.5000 0.5000 0.5000 Np
0.5000 0.5000 0.0000 Si
0.0000 0.0000 0.7937 Os
0.0000 0.0000 0.2063 Os
```

Properties
ΔE_f (raw) in meV per atom: -71
Distance to the lowest polymorph of the same formula in meV/atom: 0
Symmetry: P4/mmm (123)
Size of the total moment in μB/cell: 1.6
Fermi-level density of states in states/eV/atom: 1.222